Ir2Se | PBEsol | relaxed Values from VASP.

Quantum ESPRESSO input file:
```
&SYSTEM
  ibrav = 0, nat = 3, ntyp = 2
/
ATOMIC_SPECIES
Ir 192.22 Ir.upf
Se 78.96 Se.upf
ATOMIC_POSITIONS crystal
Ir 0.166 0.166 0.000
Ir 0.834 0.834 0.000
Se 0.500 0.500 0.000
CELL_PARAMETERS angstrom
-1.429 1.429 5.495
1.429 -1.429 5.495
1.429 1.429 -5.495
```

D(E_F)	0.953	states/eV/atom
uncorrected formation energy	0.4681	eV/atom
magnetization	0.00	μB per formula unit
theoretical density	17.2	Mg/m³
calculated volume	44.9	Å³ per cell

Li5Pb4 | PBEsol | relaxed Values from VASP.

Quantum ESPRESSO input file:
```
&SYSTEM
  ibrav = 0, nat = 18, ntyp = 2
/
ATOMIC_SPECIES
Li 6.94 Li.upf
Pb 207.20 Pb.upf
ATOMIC_POSITIONS crystal
Li 0.000 0.308 0.250
Li 0.000 0.692 0.750
Li 0.308 0.000 0.250
Li 0.308 0.308 0.750
Li 0.333 0.667 0.000
Li 0.333 0.667 0.500
Li 0.667 0.333 0.000
Li 0.667 0.333 0.500
Li 0.692 0.000 0.750
Li 0.692 0.692 0.250
Pb 0.000 0.000 0.000
Pb 0.000 0.000 0.500
Pb 0.000 0.364 0.750
Pb 0.000 0.636 0.250
Pb 0.364 0.000 0.750
Pb 0.364 0.364 0.250
Pb 0.636 0.000 0.250
Pb 0.636 0.636 0.750
CELL_PARAMETERS angstrom
8.562 0.000 0.000
-4.281 7.415 0.000
0.000 0.000 6.129
```

D(E_F)	0.342	states/eV/atom
magnetization	0.00	μB per formula unit
ΔH_f (0 K)	-0.239	eV/atom
theoretical density	7.4	Mg/m³
calculated volume	389.1	Å³ per cell

GaBIr2I | PBEsol | relaxed Values from VASP.

Quantum ESPRESSO input file:
```
&SYSTEM
  ibrav = 0, nat = 5, ntyp = 4
/
ATOMIC_SPECIES
Ga 69.72 Ga.upf
B 10.81 B.upf
Ir 192.22 Ir.upf
I 126.90 I.upf
ATOMIC_POSITIONS crystal
Ga 0.000 0.000 0.000
B 0.500 0.500 0.500
Ir 0.000 0.500 0.000
Ir 0.500 0.000 0.000
I 0.000 0.000 0.500
CELL_PARAMETERS angstrom
4.564 0.000 0.000
0.000 4.564 0.000
0.000 0.000 5.277
```

D(E_F)	1.469	states/eV/atom
uncorrected formation energy	2.2544	eV/atom
magnetization	0.35	μB per formula unit
theoretical density	8.9	Mg/m³
calculated volume	109.9	Å³ per cell

Rh2C | PBEsol | relaxed Values from VASP.

Quantum ESPRESSO input file:
```
&SYSTEM
  ibrav = 0, nat = 3, ntyp = 2
/
ATOMIC_SPECIES
Rh 102.91 Rh.upf
C 12.01 C.upf
ATOMIC_POSITIONS crystal
Rh 0.333 0.667 0.000
Rh 0.667 0.333 0.000
C 0.000 0.000 0.500
CELL_PARAMETERS angstrom
4.081 0.000 0.000
-2.040 3.534 0.000
0.000 0.000 2.588
```

D(E_F)	1.116	states/eV/atom
magnetization	0.00	μB per formula unit
ΔH_f (0 K)	1.952	eV/atom
theoretical density	9.7	Mg/m³
calculated volume	37.3	Å³ per cell

Ba3TePb | PBEsol | relaxed Values from VASP.

Quantum ESPRESSO input file:
```
&SYSTEM
  ibrav = 0, nat = 5, ntyp = 3
/
ATOMIC_SPECIES
Ba 137.33 Ba.upf
Te 127.60 Te.upf
Pb 207.20 Pb.upf
ATOMIC_POSITIONS crystal
Ba 0.000 0.000 0.500
Ba 0.000 0.500 0.000
Ba 0.500 0.000 0.000
Te 0.500 0.500 0.500
Pb 0.000 0.000 0.000
CELL_PARAMETERS angstrom
6.499 0.000 0.000
0.000 6.499 0.000
0.000 0.000 6.499
```

D(E_F)	0.263	states/eV/atom
uncorrected formation energy	-0.4569	eV/atom
magnetization	0.00	μB per formula unit
theoretical density	4.5	Mg/m³
calculated volume	274.5	Å³ per cell

TaSbRu3 | PBEsol | relaxed Values from VASP.

Quantum ESPRESSO input file:
```
&SYSTEM
  ibrav = 0, nat = 5, ntyp = 3
/
ATOMIC_SPECIES
Ta 180.95 Ta.upf
Sb 121.76 Sb.upf
Ru 101.07 Ru.upf
ATOMIC_POSITIONS crystal
Ta 0.000 0.000 0.000
Sb 0.500 0.500 0.500
Ru 0.000 0.500 0.500
Ru 0.500 0.000 0.500
Ru 0.500 0.500 0.000
CELL_PARAMETERS angstrom
4.618 0.000 0.000
0.000 4.618 0.000
0.000 0.000 4.618
```

D(E_F)	0.879	states/eV/atom
uncorrected formation energy	1.7676	eV/atom
magnetization	0.00	μB per formula unit
theoretical density	10.2	Mg/m³
calculated volume	98.5	Å³ per cell

ScCuOs2 | PBEsol | relaxed Values from VASP.

Quantum ESPRESSO input file:
```
&SYSTEM
  ibrav = 0, nat = 4, ntyp = 3
/
ATOMIC_SPECIES
Sc 44.96 Sc.upf
Cu 63.55 Cu.upf
Os 190.23 Os.upf
ATOMIC_POSITIONS crystal
Sc 0.000 0.000 0.000
Cu 0.750 0.750 0.750
Os 0.250 0.250 0.250
Os 0.500 0.500 0.500
CELL_PARAMETERS angstrom
0.000 3.076 3.076
3.076 0.000 3.076
3.076 3.076 0.000
```

D(E_F)	0.669	states/eV/atom
magnetization	0.00	μB per formula unit
ΔH_f (0 K)	0.091	eV/atom
theoretical density	14.0	Mg/m³
calculated volume	58.2	Å³ per cell

AgPdBr3 | PBEsol | relaxed Values from VASP.

Quantum ESPRESSO input file:
```
&SYSTEM
  ibrav = 0, nat = 5, ntyp = 3
/
ATOMIC_SPECIES
Ag 107.87 Ag.upf
Pd 106.42 Pd.upf
Br 79.90 Br.upf
ATOMIC_POSITIONS crystal
Ag 0.000 0.000 0.000
Pd 0.500 0.500 0.500
Br 0.000 0.000 0.500
Br 0.000 0.500 0.000
Br 0.500 0.000 0.000
CELL_PARAMETERS angstrom
5.126 0.000 0.000
0.000 5.126 0.000
0.000 0.000 5.126
```

D(E_F)	2.121	states/eV/atom
uncorrected formation energy	0.4536	eV/atom
magnetization	0.95	μB per formula unit
theoretical density	5.6	Mg/m³
calculated volume	134.7	Å³ per cell

PbW3 | PBEsol | relaxed Values from VASP.

Quantum ESPRESSO input file:
```
&SYSTEM
  ibrav = 0, nat = 4, ntyp = 2
/
ATOMIC_SPECIES
Pb 207.20 Pb.upf
W 183.84 W.upf
ATOMIC_POSITIONS crystal
Pb 0.000 0.000 0.000
W 0.235 0.235 0.723
W 0.500 0.500 0.500
W 0.765 0.765 0.277
CELL_PARAMETERS angstrom
4.779 -1.579 0.000
4.779 1.579 0.000
-1.308 0.000 4.608
```

D(E_F)	0.707	states/eV/atom
magnetization	0.00	μB per formula unit
ΔH_f (0 K)	0.797	eV/atom
theoretical density	18.1	Mg/m³
calculated volume	69.5	Å³ per cell

TeHRuN2 | PBEsol | relaxed Values from VASP.

Quantum ESPRESSO input file:
```
&SYSTEM
  ibrav = 0, nat = 5, ntyp = 4
/
ATOMIC_SPECIES
Te 127.60 Te.upf
H 1.01 H.upf
Ru 101.07 Ru.upf
N 14.01 N.upf
ATOMIC_POSITIONS crystal
Te 0.000 0.000 0.000
H 0.000 0.000 0.500
Ru 0.500 0.500 0.000
N 0.000 0.500 0.500
N 0.500 0.000 0.500
CELL_PARAMETERS angstrom
3.849 0.000 0.000
0.000 3.849 0.000
0.000 0.000 3.527
```

D(E_F)	0.882	states/eV/atom
uncorrected energy	-24.63	eV/cell
magnetization	0.00	μB per formula unit
theoretical density	8.2	Mg/m³
calculated volume	52.3	Å³ per cell

CrB2W | PBEsol | relaxed Values from VASP.

Quantum ESPRESSO input file:
```
&SYSTEM
  ibrav = 0, nat = 4, ntyp = 3
/
ATOMIC_SPECIES
Cr 52.00 Cr.upf
B 10.81 B.upf
W 183.84 W.upf
ATOMIC_POSITIONS crystal
Cr 0.000 0.000 0.000
B 0.000 0.301 0.301
B 0.500 0.424 0.424
W 0.500 0.710 0.710
CELL_PARAMETERS angstrom
2.990 0.000 0.000
0.000 1.523 4.069
0.000 -1.523 4.069
```

D(E_F)	0.550	states/eV/atom
magnetization	0.00	μB per formula unit
ΔH_f (0 K)	-0.494	eV/atom
theoretical density	11.5	Mg/m³
calculated volume	37.1	Å³ per cell

LiCuSb2 | PBEsol | relaxed Values from VASP.

Quantum ESPRESSO input file:
```
&SYSTEM
  ibrav = 0, nat = 4, ntyp = 3
/
ATOMIC_SPECIES
Li 6.94 Li.upf
Cu 63.55 Cu.upf
Sb 121.76 Sb.upf
ATOMIC_POSITIONS crystal
Li 0.000 0.000 0.000
Cu 0.000 0.000 0.500
Sb 0.500 0.500 0.273
Sb 0.500 0.500 0.727
CELL_PARAMETERS angstrom
2.018 -2.529 0.000
2.018 2.529 0.000
0.000 0.000 7.873
```

D(E_F)	0.367	states/eV/atom
uncorrected formation energy	-0.0506	eV/atom
magnetization	0.00	μB per formula unit
theoretical density	6.5	Mg/m³
calculated volume	80.4	Å³ per cell

FeSe3N | PBEsol | relaxed Values from VASP.

Quantum ESPRESSO input file:
```
&SYSTEM
  ibrav = 0, nat = 5, ntyp = 3
/
ATOMIC_SPECIES
Fe 55.84 Fe.upf
Se 78.96 Se.upf
N 14.01 N.upf
ATOMIC_POSITIONS crystal
Fe 0.000 0.000 0.000
Se 0.000 0.000 0.500
Se 0.000 0.500 0.000
Se 0.500 0.000 0.000
N 0.500 0.500 0.500
CELL_PARAMETERS angstrom
4.679 0.000 0.000
0.000 4.679 0.000
0.000 0.000 4.679
```

D(E_F)	0.897	states/eV/atom
uncorrected formation energy	1.3347	eV/atom
magnetization	5.93	μB per formula unit
theoretical density	5.0	Mg/m³
calculated volume	102.4	Å³ per cell